Record 1
Computed, not measured: an optimized crystal structure of NaTcO4 at the PBE-GGA level of DFT.

- Space group: I4_1/a, No. 88
- Crystal system: tetragonal
- Formation energy from raw total energies: -9.633 eV per formula unit
- Energy above the lowest structure with this stoichiometry: 0.009 eV per atom

a b c (Å): 5.4431 5.4457 7.1282
angles (deg): 112.47 112.45 89.98
With the nearest neighbours (Å) after each atom.
Fractional coordinates of all 12 atoms:
O 0.7242 0.3327 0.4143  1 Tc 1.75
O 0.8099 0.9185 0.5857  1 Tc 1.75
O 0.1901 0.0815 0.4143  1 Tc 1.75
Tc 0.8750 0.1250 0.2500  4 O 1.75
Tc 0.1250 0.8750 0.7500  4 O 1.75
O 0.6673 0.8101 0.0858  1 Tc 1.75
Na 0.3750 0.6250 0.2500  8 O 2.58-2.69
O 0.3327 0.1899 0.9142  1 Tc 1.75
O 0.9185 0.2756 0.0858  1 Tc 1.75
O 0.0815 0.7244 0.9142  1 Tc 1.75
O 0.2758 0.6673 0.5857  1 Tc 1.75
Na 0.6250 0.3750 0.7500  8 O 2.58-2.69

=====

Record 2
Computed, not measured: an optimized crystal structure of Rb3PmSm2Se6 at the PBE-GGA level of DFT.

- Space group: C2/m, No. 12
- Crystal system: monoclinic
- Formation energy from raw total energies: -20.866 eV per formula unit

a b c (Å): 7.5074 7.5074 8.3976
angles (deg): 98.57 98.57 120.00
With the nearest neighbours (Å) after each atom.
Fractional coordinates of all 12 atoms:
Se 0.4010 0.0664 0.1993  2 Sm 2.97, 1 Pm 2.98
Se 0.9336 0.5990 0.8007  2 Sm 2.97, 1 Pm 2.98
Rb 0.1666 0.8334 0.5000  6 Se 3.47-3.48
Pm 0.0000 0.0000 0.0000  6 Se 2.98
Sm 0.6667 0.3333 0.0000  6 Se 2.97
Rb 0.8334 0.1666 0.5000  6 Se 3.47-3.48
Se 0.7319 0.7319 0.1993  2 Sm 2.97, 1 Pm 2.98
Sm 0.3333 0.6667 0.0000  6 Se 2.97
Se 0.5990 0.9336 0.8007  2 Sm 2.97, 1 Pm 2.98
Se 0.2681 0.2681 0.8007  2 Sm 2.97, 1 Pm 2.98
Rb 0.5000 0.5000 0.5000  6 Se 3.47-3.48
Se 0.0664 0.4010 0.1993  2 Sm 2.97, 1 Pm 2.98

=====

Record 3
Computed, not measured: an optimized crystal structure of HgIr3Ru at the PBE-GGA level of DFT.

- Space group: Pm-3m, No. 221
- Crystal system: cubic
- Calculated formation energy: 833 kJ/mol of formula units
- Energy above the lowest structure with this stoichiometry: 0.000 eV per atom

a b c (Å): 4.7210 4.7210 4.7210
angles (deg): 90.00 90.00 90.00
With the nearest neighbours (Å) after each atom.
Fractional coordinates of all 5 atoms:
Ir 0.0000 0.5000 0.0000  2 Ru 2.36
Ir 0.0000 0.0000 0.5000  2 Ru 2.36
Ir 0.5000 0.0000 0.0000  2 Ru 2.36
Hg 0.5000 0.5000 0.5000  12 Ir 3.34
Ru 0.0000 0.0000 0.0000  6 Ir 2.36